Entry 1:
First-principles (PBE-GGA) data for a relaxed SrSi crystal, as listed in the Alexandria database.

Results
**Total energy**: -3.837 eV per atom
**M_tot**: 0.000 μB/atom

Cell: 4.3536 15.7335 14.2901 Å, 90.00 90.00 90.00°
Last column: nearest neighbours and their distance in Å.
Fractional coordinates of all 32 atoms:
Sr (0.0000, 0.6357, 0.0000)  6 Si 3.21-3.26
Sr (0.0000, 0.3643, 0.0000)  6 Si 3.21-3.26
Sr (0.2500, 0.1143, 0.2500)  6 Si 3.21-3.26
Sr (0.2500, 0.3857, 0.2500)  6 Si 3.21-3.26
Sr (0.0000, 0.1357, 0.5000)  6 Si 3.21-3.26
Sr (0.0000, 0.8643, 0.5000)  6 Si 3.21-3.26
Sr (0.2500, 0.6143, 0.7500)  6 Si 3.21-3.26
Sr (0.2500, 0.8857, 0.7500)  6 Si 3.21-3.26
Sr (0.5000, 0.6357, 0.5000)  6 Si 3.21-3.26
Sr (0.5000, 0.3643, 0.5000)  6 Si 3.21-3.26
Sr (0.7500, 0.1143, 0.7500)  6 Si 3.21-3.26
Sr (0.7500, 0.3857, 0.7500)  6 Si 3.21-3.26
Sr (0.5000, 0.1357, 0.0000)  6 Si 3.21-3.26
Sr (0.5000, 0.8643, 0.0000)  6 Si 3.21-3.26
Sr (0.7500, 0.6143, 0.2500)  6 Si 3.21-3.26
Sr (0.7500, 0.8857, 0.2500)  6 Si 3.21-3.26
Si (0.0000, 0.0000, 0.0804)  1 Si 2.30
Si (0.0000, 0.0000, 0.9196)  1 Si 2.30
Si (0.2500, 0.7500, 0.1696)  1 Si 2.30
Si (0.2500, 0.7500, 0.3304)  1 Si 2.30
Si (0.0000, 0.5000, 0.5804)  1 Si 2.30
Si (0.0000, 0.5000, 0.4196)  1 Si 2.30
Si (0.2500, 0.2500, 0.6696)  1 Si 2.30
Si (0.2500, 0.2500, 0.8304)  1 Si 2.30
Si (0.5000, 0.0000, 0.5804)  1 Si 2.30
Si (0.5000, 0.0000, 0.4196)  1 Si 2.30
Si (0.7500, 0.7500, 0.6696)  1 Si 2.30
Si (0.7500, 0.7500, 0.8304)  1 Si 2.30
Si (0.5000, 0.5000, 0.0804)  1 Si 2.30
Si (0.5000, 0.5000, 0.9196)  1 Si 2.30
Si (0.7500, 0.2500, 0.1696)  1 Si 2.30
Si (0.7500, 0.2500, 0.3304)  1 Si 2.30

Entry 2:
First-principles (PBE-GGA) data for a relaxed PmY2ErBr4 crystal, as listed in the Alexandria database.

Results
**Total energy**: -4.548 eV per atom
**M_tot**: 0.000 μB/atom

Cell: 6.9254 6.9254 6.2021 Å, 107.21 107.21 118.04°
Last column: nearest neighbours and their distance in Å.
Fractional coordinates of all 8 atoms:
Pm (0.9898, 0.9898, 0.9796)  6 Br 3.08-3.29
Y (0.8835, 0.3835, 0.7670)  6 Br 3.10-3.30
Y (0.3835, 0.8835, 0.7670)  6 Br 3.10-3.30
Er (0.4936, 0.4936, 0.9872)  6 Br 3.07-3.31
Br (0.4940, 0.4940, 0.4828)  2 Er 3.07-3.13, 2 Pm 3.08-3.12, 2 Y 3.30
Br (0.3822, 0.8848, 0.2671)  4 Y 3.10, 1 Pm 3.29, 1 Er 3.31
Br (0.8848, 0.3822, 0.2671)  4 Y 3.10, 1 Pm 3.29, 1 Er 3.31
Br (0.9888, 0.9888, 0.4828)  2 Er 3.07-3.13, 2 Pm 3.08-3.12, 2 Y 3.30

Entry 3:
First-principles (PBE-GGA) data for a relaxed TbHo5Mg3 crystal, as listed in the Alexandria database.

Results
**Total energy**: -3.217 eV per atom
**M_tot**: 0.000 μB/atom
**Energy relative to the elements**: 0.37 eV per atom

Cell: 7.2758 7.2758 11.9533 Å, 78.72 78.72 77.32°
Last column: nearest neighbours and their distance in Å.
Fractional coordinates of all 18 atoms:
Tb (0.1188, 0.1188, 0.7347)  2 Mg 3.12-3.40, 2 Ho 3.27-3.29
Tb (0.8812, 0.8812, 0.2653)  2 Mg 3.12-3.40, 2 Ho 3.27-3.29
Ho (0.9932, 0.3584, 0.2047)  2 Mg 3.25-3.60, 4 Ho 3.29-3.58
Ho (0.3082, 0.6918, 0.0000)  3 Mg 2.80-3.03
Ho (0.7244, 0.7244, 0.0680)  1 Mg 3.03, 1 Tb 3.29, 4 Ho 3.29-3.35
Ho (0.5858, 0.5858, 0.3691)  2 Mg 2.97-3.19, 1 Ho 3.25, 1 Tb 3.27
Ho (0.4142, 0.4142, 0.6309)  2 Mg 2.97-3.19, 1 Ho 3.25, 1 Tb 3.27
Ho (0.2756, 0.2756, 0.9320)  1 Mg 3.03, 1 Tb 3.29, 4 Ho 3.29-3.35
Ho (0.3584, 0.9932, 0.2047)  2 Mg 3.25-3.60, 4 Ho 3.29-3.58
Ho (0.6918, 0.3082, 0.0000)  3 Mg 2.80-3.03
Ho (0.0068, 0.6416, 0.7953)  2 Mg 3.25-3.60, 4 Ho 3.29-3.58
Ho (0.6416, 0.0068, 0.7953)  2 Mg 3.25-3.60, 4 Ho 3.29-3.58
Mg (0.5803, 0.5803, 0.7874)  1 Mg 2.85, 3 Ho 2.97-3.03
Mg (0.7375, 0.7375, 0.5606)  2 Mg 2.85-2.89
Mg (0.0000, 0.0000, 0.0000)  4 Ho 2.80-3.03, 2 Tb 3.12
Mg (0.0000, 0.0000, 0.5000)  2 Mg 2.89
Mg (0.4197, 0.4197, 0.2126)  1 Mg 2.85, 3 Ho 2.97-3.03
Mg (0.2625, 0.2625, 0.4394)  2 Mg 2.85-2.89

Entry 4:
First-principles (PBE-GGA) data for a relaxed NbCuPt crystal, as listed in the Alexandria database.

Results
**Total energy**: -6.640 eV per atom
**Relative energy among the computed polymorphs**: 494.2 meV per atom
**M_tot**: 0.000 μB/atom
**Energy relative to the elements**: 0.10 eV per atom

Cell: 5.1823 2.7162 7.6059 Å, 100.29 109.92 90.00°
Last column: nearest neighbours and their distance in Å.
Fractional coordinates of all 6 atoms:
Cu (0.6474, 0.1474, 0.2947)  1 Pt 2.59, 2 Cu 2.72, 4 Nb 2.79
Cu (0.3526, 0.8526, 0.7053)  1 Pt 2.59, 2 Cu 2.72, 4 Nb 2.79
Nb (0.7500, 0.5000, 0.0000)  4 Nb 2.59-2.72, 2 Pt 2.69, 4 Cu 2.79
Nb (0.2500, 0.5000, 0.0000)  4 Nb 2.59-2.72, 2 Pt 2.69, 4 Cu 2.79
Pt (0.1682, 0.6682, 0.3364)  1 Cu 2.59, 2 Nb 2.69, 2 Pt 2.72
Pt (0.8318, 0.3318, 0.6636)  1 Cu 2.59, 2 Nb 2.69, 2 Pt 2.72

Entry 5:
First-principles (PBE-GGA) data for a relaxed RbGaAs2Au crystal, as listed in the Alexandria database.

Results
**Total energy**: -3.613 eV per atom
**M_tot**: 0.000 μB/atom
**Energy relative to the elements**: -0.30 eV per atom

Cell: 6.9424 6.9541 6.8138 Å, 120.68 90.00 90.00°
Last column: nearest neighbours and their distance in Å.
Fractional coordinates of all 10 atoms:
Rb (0.2409, 0.7500, 0.5000)  2 Au 3.37, 2 As 3.55
Rb (0.7591, 0.2500, 0.5000)  2 Au 3.37, 2 As 3.55
Ga (0.5000, 0.7500, 0.0000)  4 As 2.53
Ga (0.5000, 0.2500, 0.0000)  4 As 2.53
As (0.6920, 0.8922, 0.7845)  1 Au 2.48, 2 Ga 2.53
As (0.6920, 0.6078, 0.2155)  1 Au 2.48, 2 Ga 2.53
As (0.3080, 0.3922, 0.7845)  1 Au 2.48, 2 Ga 2.53
As (0.3080, 0.1078, 0.2155)  1 Au 2.48, 2 Ga 2.53
Au (0.0000, 0.0000, 0.0000)  2 As 2.48
Au (0.0000, 0.5000, 0.0000)  2 As 2.48

Entry 6:
First-principles (PBE-GGA) data for a relaxed MnMoAsSe2 crystal, as listed in the Alexandria database.

Results
**Total energy**: -5.509 eV per atom
**Relative energy among the computed polymorphs**: 0.0 meV per atom
**M_tot**: 0.659 μB/atom

Cell: 4.7648 4.7648 4.4345 Å, 90.00 90.00 90.00°
Last column: nearest neighbours and their distance in Å.
Fractional coordinates of all 5 atoms:
Mo (0.5000, 0.5000, 0.5000)  8 Se 3.25, 4 As 3.37
Mn (0.0000, 0.0000, 0.0000)  2 As 2.22, 4 Se 2.38
As (0.0000, 0.0000, 0.5000)  2 Mn 2.22
Se (0.0000, 0.5000, 0.0000)  2 Mn 2.38
Se (0.5000, 0.0000, 0.0000)  2 Mn 2.38

Entry 7:
First-principles (PBE-GGA) data for a relaxed CuAg2Ge2 crystal, as listed in the Alexandria database.

Results
**Total energy**: -3.631 eV per atom
**Relative energy among the computed polymorphs**: 0.0 meV per atom
**M_tot**: 0.000 μB/atom
**Energy relative to the elements**: 0.18 eV per atom

Cell: 6.3382 6.3382 4.4207 Å, 90.00 90.00 90.00°
Last column: nearest neighbours and their distance in Å.
Fractional coordinates of all 10 atoms:
Ge (0.3569, 0.8569, 0.0000)  2 Cu 2.44, 1 Ge 2.57
Ge (0.8569, 0.6431, 0.0000)  2 Cu 2.44, 1 Ge 2.57
Ge (0.6431, 0.1431, 0.0000)  2 Cu 2.44, 1 Ge 2.57
Ge (0.1431, 0.3569, 0.0000)  2 Cu 2.44, 1 Ge 2.57
Cu (0.0000, 0.0000, 0.0000)  4 Ge 2.44
Cu (0.5000, 0.5000, 0.0000)  4 Ge 2.44
Ag (0.1733, 0.6733, 0.5000)  6 Ge 2.76-2.99
Ag (0.6733, 0.8267, 0.5000)  6 Ge 2.76-2.99
Ag (0.8267, 0.3267, 0.5000)  6 Ge 2.76-2.99
Ag (0.3267, 0.1733, 0.5000)  6 Ge 2.76-2.99

Entry 8:
First-principles (PBE-GGA) data for a relaxed LaZnPb2 crystal, as listed in the Alexandria database.

Results
**Total energy**: -3.602 eV per atom
**M_tot**: 0.000 μB/atom
**Energy relative to the elements**: -0.20 eV per atom

Cell: 5.1141 3.6228 6.2383 Å, 84.78 90.00 90.00°
Last column: nearest neighbours and their distance in Å.
Fractional coordinates of all 4 atoms:
La (0.5000, 0.7280, 0.7351)  7 Pb 3.32-3.68, 4 Zn 3.41-3.43, 2 La 3.62
Pb (0.0000, 0.1168, 0.9952)  2 Zn 2.99-3.33, 2 Pb 3.24
Pb (0.5000, 0.3996, 0.2546)  2 Zn 3.05, 2 Pb 3.24, 2 La 3.32-3.35
Zn (0.0000, 0.2556, 0.5151)  4 Pb 2.99-3.33

Entry 9:
First-principles (PBE-GGA) data for a relaxed Sr2Si2Ge crystal, as listed in the Alexandria database.

Results
**Total energy**: -4.162 eV per atom
**Relative energy among the computed polymorphs**: 0.0 meV per atom
**M_tot**: 0.000 μB/atom

Cell: 4.7154 6.2610 9.9852 Å, 77.10 76.34 67.88°
Last column: nearest neighbours and their distance in Å.
Fractional coordinates of all 10 atoms:
Sr (0.7191, 0.2136, 0.3482)  5 Si 3.15-3.44, 4 Ge 3.25-3.50
Sr (0.8929, 0.3046, 0.9097)  6 Si 3.13-3.46, 2 Ge 3.29
Sr (0.2809, 0.7864, 0.6518)  5 Si 3.15-3.44, 4 Ge 3.25-3.50
Sr (0.1071, 0.6954, 0.0903)  6 Si 3.13-3.46, 2 Ge 3.29
Si (0.0399, 0.3349, 0.5854)  1 Si 2.34, 2 Ge 2.60
Si (0.6024, 0.9051, 0.8901)  1 Ge 2.49, 1 Si 2.54
Si (0.9601, 0.6651, 0.4146)  1 Si 2.34, 2 Ge 2.60
Si (0.3976, 0.0949, 0.1099)  1 Ge 2.49, 1 Si 2.54
Ge (0.5470, 0.2207, 0.6853)  3 Si 2.49-2.60
Ge (0.4530, 0.7793, 0.3147)  3 Si 2.49-2.60

Entry 10:
First-principles (PBE-GGA) data for a relaxed Ce2SnSb crystal, as listed in the Alexandria database.

Results
**Total energy**: -5.796 eV per atom
**Relative energy among the computed polymorphs**: 0.0 meV per atom
**M_tot**: 0.445 μB/atom

Cell: 4.4411 4.5939 12.4831 Å, 100.60 90.00 90.00°
Last column: nearest neighbours and their distance in Å.
Fractional coordinates of all 8 atoms:
Ce (0.7500, 0.6828, 0.3656)  5 Sb 3.15-3.20, 1 Sn 3.37
Ce (0.2500, 0.3172, 0.6344)  5 Sb 3.15-3.20, 1 Sn 3.37
Ce (0.7500, 0.9375, 0.8750)  1 Sb 3.10, 4 Sn 3.22
Ce (0.2500, 0.0625, 0.1250)  1 Sb 3.10, 4 Sn 3.22
Sn (0.2500, 0.4545, 0.9089)  2 Sn 3.15, 7 Ce 3.22-3.51
Sn (0.7500, 0.5455, 0.0911)  2 Sn 3.15, 7 Ce 3.22-3.51
Sb (0.2500, 0.1887, 0.3775)  6 Ce 3.10-3.20
Sb (0.7500, 0.8113, 0.6225)  6 Ce 3.10-3.20

Entry 11:
First-principles (PBE-GGA) data for a relaxed AcH6Rh crystal, as listed in the Alexandria database.

Results
**Total energy**: -4.432 eV per atom
**Relative energy among the computed polymorphs**: 0.0 meV per atom
**M_tot**: 0.000 μB/atom

Cell: 4.7782 4.7782 4.8675 Å, 60.60 60.60 60.00°
Last column: nearest neighbours and their distance in Å.
Fractional coordinates of all 8 atoms:
Ac (0.5000, 0.5000, 0.5000)  12 H 2.63
H (0.9055, 0.9055, 0.7768)  1 Rh 1.66
H (0.4122, 0.9055, 0.7768)  1 Rh 1.66
H (0.0945, 0.5878, 0.2232)  1 Rh 1.66
H (0.5878, 0.0945, 0.2232)  1 Rh 1.66
H (0.0945, 0.0945, 0.2232)  1 Rh 1.66
H (0.9055, 0.4122, 0.7768)  1 Rh 1.66
Rh (0.0000, 0.0000, 0.0000)  6 H 1.66

Entry 12:
First-principles (PBE-GGA) data for a relaxed Ba2CaLu crystal, as listed in the Alexandria database.

Results
**Total energy**: -2.230 eV per atom
**Relative energy among the computed polymorphs**: 168.1 meV per atom
**M_tot**: 0.000 μB/atom
**Energy relative to the elements**: 0.36 eV per atom

Cell: 3.8292 3.8292 14.3049 Å, 82.31 82.31 60.00°
Last column: nearest neighbours and their distance in Å.
Fractional coordinates of all 4 atoms:
Ca (0.5000, 0.5000, 0.5000)  6 Ca 3.83, 6 Ba 4.16
Lu (0.0000, 0.0000, 0.0000)  2 Ba 3.54, 6 Lu 3.83
Ba (0.0835, 0.0835, 0.7495)  1 Lu 3.54, 6 Ba 3.83
Ba (0.9165, 0.9165, 0.2505)  1 Lu 3.54, 6 Ba 3.83